{"formula": "SmAgTe3Pb", "functional": "PBE", "state": "optimized geometry", "lattice_angstrom": [[11.4356, 0.0000, 0.0000], [0.0000, 4.4023, 0.0000], [0.0000, 0.0000, 14.8402]], "species": ["Sm", "Sm", "Sm", "Sm", "Ag", "Ag", "Ag", "Ag", "Te", "Te", "Te", "Te", "Te", "Te", "Te", "Te", "Te", "Te", "Te", "Te", "Pb", "Pb", "Pb", "Pb"], "frac_coords": [[0.0153, 0.2500, 0.2452], [0.4847, 0.7500, 0.7452], [0.5153, 0.2500, 0.2548], [0.9847, 0.7500, 0.7548], [0.2399, 0.2500, 0.7232], [0.2601, 0.7500, 0.2232], [0.7399, 0.2500, 0.7768], [0.7601, 0.7500, 0.2768], [0.0430, 0.2500, 0.6067], [0.0745, 0.7500, 0.0998], [0.2374, 0.7500, 0.8448], [0.2626, 0.2500, 0.3448], [0.4255, 0.2500, 0.5998], [0.4570, 0.7500, 0.1067], [0.5430, 0.2500, 0.8933], [0.5745, 0.7500, 0.4002], [0.7374, 0.7500, 0.6552], [0.7626, 0.2500, 0.1552], [0.9255, 0.2500, 0.9002], [0.9570, 0.7500, 0.3933], [0.2281, 0.7500, 0.5174], [0.2719, 0.2500, 0.0174], [0.7281, 0.7500, 0.9826], [0.7719, 0.2500, 0.4826]], "e_above_lowest_polymorph_mev_per_atom": 2, "space_group": "Pnma (62)", "crystal_system": "orthorhombic", "vol_a3_per_atom": 31.129}